Here is a geometry-optimized DyCo7O12 structure from OQMD via LeMat-Bulk. Energies are from PBE with a Hubbard U.

Properties
For the raw total energy, the calculation gives -6.201 eV per atom. For the spin magnetization, the calculation gives 28.0 Bohr magnetons per cell.

a = 7.224 Å, b = 7.224 Å, c = 7.224 Å
α = 90.00°, β = 90.00°, γ = 90.00°
Space group Im-3 (No. 204)
One atom of each set of equivalent atoms:
Dy  0.000  0.000  0.000 x2
Co  0.000  0.000  0.500 x6
Co  0.250  0.250  0.250 x8
O  0.000  0.174  0.306 x24